Record 1
Compound: TaOs2Pb
Source: the Alexandria database
Functional: PBE
Structure: optimized geometry

Cell and atoms, written as POSCAR:
```
TaOs2Pb
1.0
4.877 -1.595 0.000
4.877 1.595 0.000
-1.425 0.000 4.514
Ta Os Pb
1 2 1
Cartesian
0.000 0.000 0.000
4.069 0.000 2.151
6.944 0.000 0.521
1.412 0.000 2.866
```

* raw total energy: -8.97 eV per atom

Record 2
Compound: TaOs2Pb
Source: the Alexandria database
Functional: PBE
Structure: optimized geometry

Cell and atoms, written as POSCAR:
```
TaOs2Pb
1.0
2.953 -4.568 0.000
2.953 4.568 0.000
-1.383 0.000 2.597
Ta Os Pb
1 2 1
Cartesian
0.000 0.000 0.000
0.785 2.284 1.298
0.785 -2.284 1.298
2.953 0.000 0.000
```

* raw total energy: -8.73 eV per atom

Record 3
Compound: Ta3OsPb
Source: the Alexandria database
Functional: PBE
Structure: optimized geometry

Cell and atoms, written as POSCAR:
```
Ta3OsPb
1.0
4.985 0.000 0.000
0.000 4.985 0.000
0.000 0.000 4.985
Ta Os Pb
3 1 1
Cartesian
0.000 0.000 2.492
0.000 2.492 0.000
2.492 0.000 0.000
2.492 2.492 2.492
0.000 0.000 0.000
```

* raw total energy: -7.19 eV per atom
* polymorph energy (0 for the lowest one): 1.9031 eV per atom

Record 4
Compound: TaOsPb4
Source: the Alexandria database
Functional: PBE
Structure: optimized geometry

Cell and atoms, written as POSCAR:
```
TaOsPb4
1.0
0.000 4.310 4.310
4.310 0.000 4.310
4.310 4.310 0.000
Ta Os Pb
1 1 4
Cartesian
0.000 0.000 0.000
6.465 6.465 6.465
3.232 3.232 3.232
5.388 5.388 3.232
5.388 3.232 5.388
3.232 5.388 5.388
```

* raw total energy: -4.70 eV per atom

no.,calculated formation energy (eV/atom),magnetization (μB per atom)
1,0.536,0.0000
2,0.774,0.0000
3,2.908,0.1113
4,1.618,0.4663